This record from Alexandria via LeMat-Bulk describes a relaxed AgHS2Cl crystal. The functional is PBE-GGA.

Total magnetic moment in Bohr magnetons per cell: 0.0
E_tot in eV per atom: -2.910

a = 3.6651 Å, b = 3.6651 Å, c = 7.3108 Å
α = 90.00°, β = 90.00°, γ = 90.00°
Atoms (fractional coordinates):
S: 0.0000 0.5000 0.0000
S: 0.5000 0.0000 0.0000
Ag: 0.5000 0.5000 0.5000
Cl: 0.0000 0.0000 0.5000
H: 0.0000 0.0000 0.0000